## TaCuPS2 (PBE)

Data for an optimized crystal structure of TaCuPS2.

Geometry as POSCAR:
```
TaCuPS2
1.0
4.740 0.000 0.000
0.000 4.740 0.000
0.000 0.000 4.892
Ta Cu P S
1 1 1 2
Direct
0.000 0.000 0.000 Ta
0.500 0.500 0.500 Cu
0.000 0.000 0.500 P
0.000 0.500 0.000 S
0.500 0.000 0.000 S
```

Summary:
The value obtained for the energy is -5.657 eV/atom. For the formation energy from raw total energies, the calculation gives 128.3 kJ/mol of formula units. For the magnetization, the calculation gives 0.000 μB per atom. The space-group type is No. 123.